1.
26
Lattice="10.208 0.000 0.000 0.000 17.964 0.000 0.000 0.000 3.344" Properties=species:S:1:pos:R:3 comment="Mg5Tl2Cd6 GGA-PBE relaxed" ef_ev_per_atom=-0.018 dos_at_fermi_per_ev_cell=9.33 e_tot_ha_per_atom=-0.0521 pbc="T T T"
Mg 0.000 0.000 0.000
Mg 0.735 4.964 0.000
Mg 2.091 9.986 0.000
Mg 3.013 1.004 0.000
Mg 4.369 13.946 0.000
Mg 5.104 8.982 0.000
Mg 5.839 4.018 0.000
Mg 7.195 16.960 0.000
Mg 8.117 7.978 0.000
Mg 9.473 13.000 0.000
Tl 1.839 12.997 1.672
Tl 3.265 4.015 1.672
Tl 6.943 13.949 1.672
Tl 8.369 4.967 1.672
Cd 0.537 7.606 1.672
Cd 0.604 2.358 1.672
Cd 2.081 15.934 0.000
Cd 3.022 6.952 0.000
Cd 4.500 11.340 1.672
Cd 4.567 16.588 1.672
Cd 5.641 1.376 1.672
Cd 5.708 6.624 1.672
Cd 7.185 11.012 0.000
Cd 8.126 2.030 0.000
Cd 9.604 15.606 1.672
Cd 9.671 10.358 1.672

***

2.
12
Lattice="4.252 0.000 0.000 0.000 5.524 0.000 0.000 0.000 12.269" Properties=species:S:1:pos:R:3 comment="Na2GeAu3 GGA-PBE relaxed" ef_ev_per_atom=-0.098 dos_at_fermi_per_ev_cell=1.80 e_tot_ha_per_atom=-0.1083 de_polymorph_ev_per_atom=0.213 pbc="T T T"
Na 0.000 0.000 2.352
Na 0.000 0.000 9.917
Na 2.126 2.762 3.783
Na 2.126 2.762 8.486
Ge 0.000 0.000 6.134
Ge 2.126 2.762 0.000
Au 0.000 2.762 1.542
Au 0.000 2.762 6.134
Au 0.000 2.762 10.726
Au 2.126 0.000 0.000
Au 2.126 0.000 4.592
Au 2.126 0.000 7.677

***

3.
16
Lattice="7.110 0.000 0.000 0.000 7.110 0.000 0.000 0.000 5.393" Properties=species:S:1:pos:R:3 comment="MgTcRu2 GGA-PBE relaxed" ef_ev_per_atom=0.564 dos_at_fermi_per_ev_cell=15.81 e_tot_ha_per_atom=-0.2596 pbc="T T T"
Mg 0.000 0.000 0.000
Mg 0.000 3.555 1.348
Mg 3.555 0.000 4.044
Mg 3.555 3.555 2.696
Tc 0.000 0.000 2.696
Tc 0.000 3.555 4.044
Tc 3.555 0.000 1.348
Tc 3.555 3.555 0.000
Ru 1.451 1.777 3.370
Ru 1.777 5.006 4.718
Ru 1.777 5.658 2.022
Ru 2.103 1.777 0.674
Ru 5.006 5.332 0.674
Ru 5.332 1.451 2.022
Ru 5.332 2.103 4.718
Ru 5.658 5.332 3.370

***

4.
8
Lattice="3.113 0.000 0.000 0.000 4.461 0.000 0.000 0.000 10.060" Properties=species:S:1:pos:R:3 comment="Zr2CrNi GGA-PBE relaxed" ef_ev_per_atom=0.024 dos_at_fermi_per_ev_cell=8.73 e_tot_ha_per_atom=-0.2977 de_polymorph_ev_per_atom=0.138 pbc="T T T"
Zr 0.000 0.000 0.000
Zr 0.000 2.231 2.223
Zr 1.556 0.000 7.254
Zr 1.556 2.231 5.030
Cr 0.000 2.231 7.767
Cr 1.556 0.000 2.737
Ni 0.000 0.000 4.627
Ni 1.556 2.231 9.657

***

5.
12
Lattice="4.098 0.000 0.000 -2.049 3.549 0.000 0.000 0.000 19.983" Properties=species:S:1:pos:R:3 comment="Tm2SbS GGA-PBE relaxed" dos_at_fermi_per_ev_cell=4.17 e_tot_ha_per_atom=-0.2110 de_polymorph_ev_per_atom=0.004 pbc="T T T"
Tm 0.000 0.000 4.413
Tm 0.000 0.000 15.570
Tm 0.000 2.366 8.129
Tm 0.000 2.366 18.543
Tm 2.049 1.183 1.440
Tm 2.049 1.183 11.854
Sb 0.000 0.000 9.992
Sb 0.000 2.366 13.721
Sb 2.049 1.183 6.262
S 0.000 0.000 0.000
S 0.000 2.366 2.930
S 2.049 1.183 17.053

***

6.
3
Lattice="5.064 0.000 0.000 -2.532 4.386 0.000 0.000 0.000 4.679" Properties=species:S:1:pos:R:3 comment="BaAsPb GGA-PBE relaxed" ef_ev_per_atom=-0.619 dos_at_fermi_per_ev_cell=1.34 e_tot_ha_per_atom=-0.1487 de_polymorph_ev_per_atom=0.085 pbc="T T T"
Ba 0.000 0.000 0.000
As 0.000 2.924 2.340
Pb 2.532 1.462 2.340

***

7.
16
Lattice="2.789 -7.922 0.000 2.789 7.922 0.000 -2.324 0.000 7.953" Properties=species:S:1:pos:R:3 comment="Ag3Hg5 GGA-PBE relaxed" ef_ev_per_atom=0.109 dos_at_fermi_per_ev_cell=4.17 e_tot_ha_per_atom=-0.0422 pbc="T T T"
Ag 2.789 5.233 0.000
Ag 1.627 3.846 3.976
Ag 0.729 0.000 5.188
Ag 2.525 0.000 2.765
Ag 1.627 -3.846 3.976
Ag 2.789 -5.233 0.000
Hg -0.023 1.586 2.803
Hg -0.933 0.000 7.650
Hg 0.428 2.748 6.401
Hg -0.023 -1.586 2.803
Hg 2.826 2.748 1.552
Hg 0.428 -2.748 6.401
Hg 3.277 1.586 5.150
Hg 2.826 -2.748 1.552
Hg 4.187 0.000 0.303
Hg 3.277 -1.586 5.150

***

8.
4
Lattice="2.717 0.000 0.000 0.000 3.644 0.000 -1.051 0.000 5.022" Properties=species:S:1:pos:R:3 comment="BeCuRh2 GGA-PBE relaxed" ef_ev_per_atom=-0.139 dos_at_fermi_per_ev_cell=3.85 e_tot_ha_per_atom=-0.2121 pbc="T T T"
Be 0.000 0.000 0.000
Cu -0.525 0.000 2.511
Rh 0.758 1.822 1.155
Rh 0.908 1.822 3.867

***

9.
10
Lattice="7.681 0.000 0.000 0.000 7.681 0.000 0.000 0.000 3.809" Properties=species:S:1:pos:R:3 comment="YZn2Sb2 GGA-PBE relaxed" dos_at_fermi_per_ev_cell=3.15 e_tot_ha_per_atom=-0.1375 pbc="T T T"
Y 0.000 0.000 0.000
Y 3.840 3.840 0.000
Zn 0.894 2.947 0.000
Zn 2.947 6.787 0.000
Zn 4.734 0.894 0.000
Zn 6.787 4.734 0.000
Sb 1.387 5.227 1.904
Sb 2.454 1.387 1.904
Sb 5.227 6.294 1.904
Sb 6.294 2.454 1.904

***

10.
4
Lattice="3.717 0.000 0.000 0.000 3.717 0.000 0.000 0.000 10.772" Properties=species:S:1:pos:R:3 comment="Tl2TeBr GGA-PBE relaxed" dos_at_fermi_per_ev_cell=1.08 e_tot_ha_per_atom=-0.0992 de_polymorph_ev_per_atom=0.171 pbc="T T T"
Tl 0.000 0.000 0.000
Tl 1.858 1.858 3.302
Te 1.858 1.858 8.684
Br 0.000 0.000 4.932

***

11.
8
Lattice="2.712 0.000 0.000 0.000 4.276 0.000 0.000 0.000 8.475" Properties=species:S:1:pos:R:3 comment="FeNi2Ir GGA-PBE relaxed" ef_ev_per_atom=0.068 dos_at_fermi_per_ev_cell=12.29 e_tot_ha_per_atom=-0.2629 pbc="T T T"
Fe 0.000 0.000 0.000
Fe 1.356 2.138 4.238
Ni 0.000 0.000 4.408
Ni 0.000 2.138 2.228
Ni 1.356 0.000 6.465
Ni 1.356 2.138 0.171
Ir 0.000 2.138 6.415
Ir 1.356 0.000 2.177

***

12.
24
Lattice="7.459 -4.256 0.000 7.459 4.256 0.000 -0.054 0.000 13.824" Properties=species:S:1:pos:R:3 comment="Sn5Ge3Br16 GGA-PBE relaxed" dos_at_fermi_per_ev_cell=0.00 e_tot_ha_per_atom=-0.1177 pbc="T T T"
Sn 0.000 0.000 0.000
Sn 8.797 2.144 3.603
Sn 5.142 0.000 7.008
Sn 7.691 0.000 10.476
Sn 8.797 -2.144 3.603
Ge 3.804 2.047 10.592
Ge 3.804 -2.047 10.592
Ge 12.409 0.000 3.542
Br 0.258 0.000 5.259
Br 6.370 2.258 1.743
Br 2.466 0.000 1.883
Br 2.731 0.000 8.985
Br 6.248 1.996 8.709
Br 4.878 0.000 12.131
Br 9.072 2.103 12.127
Br 7.579 0.000 5.424
Br 11.365 1.971 5.095
Br 6.248 -1.996 8.709
Br 10.087 0.000 8.941
Br 6.370 -2.258 1.743
Br 10.373 0.000 1.890
Br 12.490 0.000 12.067
Br 9.072 -2.103 12.127
Br 11.365 -1.971 5.095